1.
A plane-wave DFT calculation with PBE was carried out for a relaxed NaTmSnTe3 crystal.

Lattice parameters (Å, degrees): 14.963 4.337 12.534 90.00 90.00 90.00
Positions (direct):
Na  0.232  0.250  0.101
Na  0.268  0.750  0.601
Na  0.732  0.250  0.399
Na  0.768  0.750  0.899
Tm  0.009  0.750  0.650
Tm  0.491  0.250  0.150
Tm  0.509  0.750  0.850
Tm  0.991  0.250  0.350
Sn  0.045  0.250  0.919
Sn  0.455  0.750  0.419
Sn  0.545  0.250  0.581
Sn  0.955  0.750  0.081
Te  0.102  0.750  0.231
Te  0.117  0.250  0.540
Te  0.153  0.750  0.826
Te  0.347  0.250  0.326
Te  0.383  0.750  0.040
Te  0.398  0.250  0.731
Te  0.602  0.750  0.269
Te  0.617  0.250  0.960
Te  0.653  0.750  0.674
Te  0.847  0.250  0.174
Te  0.883  0.750  0.460
Te  0.898  0.250  0.769

Total DFT energy (no corrections) in eV for the cell shown: -98.54
Total moment in μB/cell: 0.0
Symmetry: Pnma, No. 62

=====

2.
A plane-wave DFT calculation with PBE was carried out for a relaxed Ho3ScTe2C2 crystal.

Lattice parameters (Å, degrees): 3.757 3.757 13.773 90.00 90.00 120.00
Positions (direct):
Ho  0.000  0.000  0.000
Ho  0.000  0.000  0.323
Ho  0.667  0.333  0.810
Sc  0.667  0.333  0.502
Te  0.000  0.000  0.648
Te  0.667  0.333  0.161
C  0.333  0.667  0.416
C  0.333  0.667  0.905

Total DFT energy (no corrections) in eV for the cell shown: -51.68
Total moment in μB/cell: 0.0
Symmetry: P3m1, No. 156

=====

3.
A plane-wave DFT calculation with PBE was carried out for a relaxed ErTm2Lu4Co2Te2 crystal.

Lattice parameters (Å, degrees): 9.185 9.185 9.185 156.20 66.74 118.68
Positions (direct):
Er  0.000  0.000  0.000
Tm  0.445  0.580  0.864
Tm  0.716  0.580  0.136
Lu  0.060  0.374  0.686
Lu  0.078  0.727  0.351
Lu  0.375  0.727  0.649
Lu  0.687  0.374  0.314
Co  0.305  0.069  0.236
Co  0.833  0.069  0.764
Te  0.337  0.337  0.000
Te  0.733  0.233  0.500

Total DFT energy (no corrections) in eV for the cell shown: -58.93
Total moment in μB/cell: 0.0
Symmetry: Imm2, No. 44

=====

4.
A plane-wave DFT calculation with PBE was carried out for a relaxed Li2Ta2AlGeOs2 crystal.

Lattice parameters (Å, degrees): 4.352 4.352 6.154 90.00 90.00 90.00
Positions (direct):
Li  0.000  0.500  0.250
Li  0.500  0.000  0.750
Ta  0.000  0.000  0.000
Ta  0.500  0.500  0.500
Al  0.000  0.000  0.500
Ge  0.500  0.500  0.000
Os  0.000  0.500  0.750
Os  0.500  0.000  0.250

Total DFT energy (no corrections) in eV for the cell shown: -61.26
Total moment in μB/cell: 0.0
Symmetry: P-4m2, No. 115

=====

5.
A plane-wave DFT calculation with PBE was carried out for a relaxed Na2LiTaH6 crystal.

Lattice parameters (Å, degrees): 5.351 5.351 5.351 60.00 60.00 60.00
Positions (direct):
Na  0.250  0.250  0.250
Na  0.750  0.750  0.750
Li  0.000  0.000  0.000
Ta  0.500  0.500  0.500
H  0.251  0.251  0.749
H  0.251  0.749  0.251
H  0.251  0.749  0.749
H  0.749  0.251  0.251
H  0.749  0.251  0.749
H  0.749  0.749  0.251

Total DFT energy (no corrections) in eV for the cell shown: -36.74
Total moment in μB/cell: 2.0
Symmetry: Fm-3m, No. 225

=====

6.
A plane-wave DFT calculation with PBE was carried out for a relaxed BaB4Ir crystal.

Lattice parameters (Å, degrees): 3.233 3.233 7.873 90.00 90.00 120.00
Positions (direct):
Ba  0.000  0.000  0.000
B  0.333  0.667  0.311
B  0.333  0.667  0.689
B  0.667  0.333  0.311
B  0.667  0.333  0.689
Ir  0.000  0.000  0.500

Excess energy over the best structure of this formula in the dataset in meV/atom: 0
Total moment in μB/cell: 0.0
Symmetry: P6/mmm, No. 191